1.
4
Lattice="-2.395 3.790 0.234 -2.191 -1.208 -2.866 -7.864 -5.163 3.147" Properties=species:S:1:pos:R:3 comment="GGA-PBE KCa2Mo, optimized geometry" n_ef_per_ev_fu=3.354 e_above_lowest_polymorph_mev_per_atom=247.6 ef_mev_per_atom=916 pbc="T T T"
Ca -7.527 -4.928 2.788
Ca -3.328 0.570 -0.224
K -5.260 -3.348 0.395
Mo -9.226 -3.223 0.844

2.
4
Lattice="7.450 0.014 -0.005 6.524 3.598 -0.005 2.261 0.585 5.310" Properties=species:S:1:pos:R:3 comment="GGA-PBE KCa2Mo, optimized geometry" n_ef_per_ev_fu=4.748 e_above_lowest_polymorph_mev_per_atom=266.9 ef_mev_per_atom=935 pbc="T T T"
Ca 13.301 3.439 0.294
Ca 12.190 3.151 3.969
K 8.624 2.230 2.419
Mo 4.212 1.089 1.257

3.
8
Lattice="8.233 0.000 0.000 0.000 8.233 0.000 4.117 4.117 5.810" Properties=species:S:1:pos:R:3 comment="GGA-PBE KCa2Mo, optimized geometry" n_ef_per_ev_fu=2.917 e_above_lowest_polymorph_mev_per_atom=778.8 ef_mev_per_atom=1447 pbc="T T T"
K 4.117 4.117 0.000
K 4.117 8.233 2.905
Mo 0.000 0.000 0.000
Mo 8.233 4.117 2.905
Ca 8.223 2.058 1.452
Ca 8.244 6.175 1.452
Ca 6.175 4.128 4.357
Ca 10.292 4.106 4.357

4.
4
Lattice="-4.927 3.148 -0.716 -5.580 0.202 -1.877 -2.937 -1.891 6.457" Properties=species:S:1:pos:R:3 comment="GGA-PBE KCaMo2, optimized geometry" n_ef_per_ev_fu=2.631 e_above_lowest_polymorph_mev_per_atom=333.4 ef_mev_per_atom=947 pbc="T T T"
Ca -10.083 1.094 2.898
K -3.361 0.365 0.966
Mo -2.575 -1.629 5.587
Mo -7.084 0.467 2.803

5.
4
Lattice="-2.215 2.154 -0.754 -0.720 -2.992 -0.801 -4.862 -1.504 9.991" Properties=species:S:1:pos:R:3 comment="GGA-PBE KCaMo2, optimized geometry" n_ef_per_ev_fu=4.104 e_above_lowest_polymorph_mev_per_atom=175.5 ef_mev_per_atom=789 pbc="T T T"
Ca -2.160 -0.668 4.439
K -5.278 -1.598 7.054
Mo -0.285 -0.088 0.585
Mo -2.505 -0.740 1.355

6.
4
Lattice="6.489 -0.002 0.000 2.505 5.986 0.000 -4.497 -2.992 3.597" Properties=species:S:1:pos:R:3 comment="GGA-PBE KCa2Mo, optimized geometry" n_ef_per_ev_fu=3.259 e_above_lowest_polymorph_mev_per_atom=352.9 ef_mev_per_atom=1021 pbc="T T T"
Ca 0.000 0.000 0.000
Ca 1.253 2.993 1.798
K 4.497 2.992 0.000
Mo 3.245 -0.001 1.798